# 1
Density functional theory data (PBE-GGA) for an optimized crystal structure of ReIr4Au.

Lattice parameters (Å, degrees): 5.1446 5.1446 5.1446 60.00 60.00 60.00
With the nearest neighbours (Å) after each atom.
Sites, in units of the cell vectors:
1 Re 0.2500 0.2500 0.2500  12 Ir 3.02, 4 Au 3.15
2 Ir 0.6251 0.6251 0.1247  6 Ir 2.57
3 Ir 0.6251 0.1247 0.6251  6 Ir 2.57
4 Ir 0.6251 0.6251 0.6251  6 Ir 2.57
5 Ir 0.1247 0.6251 0.6251  6 Ir 2.57
6 Au 0.0000 0.0000 0.0000  12 Ir 3.02, 4 Re 3.15

Values from the calculation:
* ΔE_f: 0.64 eV per atom
* N(E_F): 5.6 states/eV/f.u.

---

# 2
Density functional theory data (PBE-GGA) for an optimized crystal structure of Ca3ScB.

Lattice parameters (Å, degrees): 5.3483 5.3483 5.3483 90.00 90.00 90.00
With the nearest neighbours (Å) after each atom.
Sites, in units of the cell vectors:
1 Sc 0.5000 0.5000 0.5000  12 Ca 3.78
2 Ca 0.0000 0.5000 0.0000  2 B 2.67
3 Ca 0.0000 0.0000 0.5000  2 B 2.67
4 Ca 0.5000 0.0000 0.0000  2 B 2.67
5 B 0.0000 0.0000 0.0000  6 Ca 2.67

Values from the calculation:
* ΔE_f: 0.44 eV per atom
* N(E_F): 6.0 states/eV/f.u.

---

# 3
Density functional theory data (PBE-GGA) for an optimized crystal structure of Y5SiSe5.

Lattice parameters (Å, degrees): 5.7751 7.1108 8.1715 106.73 90.00 113.96
With the nearest neighbours (Å) after each atom.
Sites, in units of the cell vectors:
1 Y 0.8412 0.6824 0.1700  1 Si 2.83, 5 Se 2.83-2.94
2 Y 0.8387 0.6774 0.6708  1 Si 2.84, 5 Se 2.86-2.92
3 Y 0.5000 0.0000 0.0000  2 Si 2.89, 4 Se 2.92-2.93
4 Y 0.1613 0.3226 0.3292  1 Si 2.84, 5 Se 2.86-2.92
5 Y 0.1588 0.3176 0.8300  1 Si 2.83, 5 Se 2.83-2.94
6 Si 0.0000 0.0000 0.0000  6 Y 2.83-2.89
7 Se 0.6704 0.3408 0.3346  5 Y 2.89-2.94
8 Se 0.6696 0.3391 0.8357  5 Y 2.89-2.93
9 Se 0.0000 0.0000 0.5000  4 Y 2.83-2.86
10 Se 0.3304 0.6609 0.1643  5 Y 2.89-2.93
11 Se 0.3296 0.6592 0.6654  5 Y 2.89-2.94

Values from the calculation:
* ΔE_f (raw): -1.719 eV per atom
* N(E_F): 2.4 states/eV/f.u.

---

# 4
Density functional theory data (PBE-GGA) for an optimized crystal structure of ReTe2Ir.

Lattice parameters (Å, degrees): 3.0083 3.9593 7.5984 90.00 90.00 90.00
With the nearest neighbours (Å) after each atom.
Sites, in units of the cell vectors:
1 Ir 0.0000 0.0000 0.5401  5 Te 2.77-2.87, 4 Re 2.78, 2 Ir 3.01
2 Re 0.5000 0.5000 0.7034  5 Te 2.67-2.92, 4 Ir 2.78
3 Te 0.0000 0.0000 0.9044  1 Ir 2.77, 4 Re 2.92, 2 Te 3.01
4 Te 0.5000 0.5000 0.3521  1 Re 2.67, 4 Ir 2.87

Values from the calculation:
* ΔE_f (raw): 0.414 eV per atom
* N(E_F): 3.7 states/eV/f.u.

---

# 5
Density functional theory data (PBE-GGA) for an optimized crystal structure of KZr2Sb.

Lattice parameters (Å, degrees): 3.3793 3.3793 10.6559 90.00 90.00 101.92
With the nearest neighbours (Å) after each atom.
Sites, in units of the cell vectors:
1 K 0.5000 0.5000 0.2500  4 K 3.38
2 Sb 0.5000 0.5000 0.7500  4 Zr 2.86
3 Zr 0.0000 0.0000 0.9290  2 Sb 2.86
4 Zr 0.0000 0.0000 0.5710  2 Sb 2.86

Values from the calculation:
* ΔE_f (raw): 0.221 eV per atom
* N(E_F): 3.7 states/eV/f.u.

---

# 6
Density functional theory data (PBE-GGA) for an optimized crystal structure of TiGaF2.

Lattice parameters (Å, degrees): 4.1822 4.1822 7.4926 73.79 73.79 90.00
With the nearest neighbours (Å) after each atom.
Sites, in units of the cell vectors:
1 F 0.4999 0.1250 0.2500  2 Ti 2.08
2 F 0.2501 0.6250 0.2500  2 Ti 2.08
3 F 0.3750 0.5001 0.7500  2 Ti 2.08
4 F 0.8750 0.7499 0.7500  2 Ti 2.08
5 Ga 0.0000 0.0000 0.0000  4 F 2.55
6 Ga 0.7500 0.2500 0.5000  4 F 2.55
7 Ti 0.5000 0.5000 0.0000  4 F 2.08
8 Ti 0.2500 0.7500 0.5000  4 F 2.08

Values from the calculation:
* ΔE_f (raw): -1.620 eV per atom
* N(E_F): 3.0 states/eV/f.u.

---

# 7
Density functional theory data (PBE-GGA) for an optimized crystal structure of Tb3Si4Tc4.

Lattice parameters (Å, degrees): 4.2209 6.7508 7.9508 115.12 105.39 90.00
With the nearest neighbours (Å) after each atom.
Sites, in units of the cell vectors:
1 Tb 0.1273 0.1273 0.2547  6 Si 3.02, 6 Tc 3.02-3.03
2 Tb 0.8727 0.8727 0.7453  6 Si 3.02, 6 Tc 3.02-3.03
3 Tb 0.0000 0.5000 0.0000  6 Si 2.96-2.99
4 Si 0.2153 0.7153 0.4307  6 Tc 2.54-2.58
5 Si 0.7847 0.2847 0.5693  6 Tc 2.54-2.58
6 Si 0.5000 0.8131 0.0000  1 Si 2.52, 2 Tc 2.54
7 Si 0.5000 0.1869 0.0000  1 Si 2.52, 2 Tc 2.54
8 Tc 0.3256 0.1340 0.6513  4 Si 2.54-2.58, 1 Tc 2.59
9 Tc 0.6744 0.4827 0.3487  4 Si 2.54-2.58, 1 Tc 2.59
10 Tc 0.6744 0.8660 0.3487  4 Si 2.54-2.58, 1 Tc 2.59
11 Tc 0.3256 0.5173 0.6513  4 Si 2.54-2.58, 1 Tc 2.59

Values from the calculation:
* ΔE_f (raw): -0.556 eV per atom
* N(E_F): 12.0 states/eV/f.u.

---

# 8
Density functional theory data (PBE-GGA) for an optimized crystal structure of Ba2SrSb.

Lattice parameters (Å, degrees): 7.0684 7.0684 7.0684 135.74 135.74 64.38
With the nearest neighbours (Å) after each atom.
Sites, in units of the cell vectors:
1 Ba 0.0000 0.0000 0.0000  4 Sb 3.77, 4 Ba 4.00, 4 Sr 4.00
2 Ba 0.2500 0.7500 0.5000  4 Sr 3.77, 4 Ba 4.00, 4 Sb 4.00
3 Sb 0.5000 0.5000 0.0000  8 Ba 3.77-4.00, 4 Sr 4.00
4 Sr 0.7500 0.2500 0.5000  8 Ba 3.77-4.00, 4 Sb 4.00

Values from the calculation:
* ΔE_f (raw): -0.416 eV per atom
* N(E_F): 3.6 states/eV/f.u.

---

| no. | total magnetic moment (μB/cell) |
| --- | --- |
| 1 | 0.00 |
| 2 | 1.68 |
| 3 | 0.00 |
| 4 | 0.00 |
| 5 | 0.00 |
| 6 | 1.99 |
| 7 | 0.00 |
| 8 | 0.00 |